# DyAl6Ni6 (PBE, relaxed)
data_DyAl6Ni6
_space_group_name_H-M_alt 'P 1'
_space_group_IT_number 1
_cell_length_a 4.9476
_cell_length_b 6.4903
_cell_length_c 6.4903
_cell_angle_alpha 79.85
_cell_angle_beta 67.59
_cell_angle_gamma 67.59
loop_
_space_group_symop_operation_xyz
'x,y,z'
loop_
_atom_site_label
_atom_site_fract_x
_atom_site_fract_y
_atom_site_fract_z
Dy1 0.0000 0.0000 0.0000
Al1 0.3473 0.6527 0.6527
Al2 0.6527 0.3473 0.3473
Al3 0.0000 0.3411 0.6589
Al4 0.0000 0.6589 0.3411
Al5 0.3057 0.1943 0.1943
Al6 0.6943 0.8057 0.8057
Ni1 0.0000 0.5000 0.0000
Ni2 0.5000 0.5000 0.0000
Ni3 0.0000 0.0000 0.5000
Ni4 0.5000 0.0000 0.5000
Ni5 0.5000 0.7660 0.2340
Ni6 0.5000 0.2340 0.7660
# mass density = 6.311 g/cm3
# magnetic moment = 0.000 μB/cell
# electronic total energy = -69.42 eV for the cell shown